HoLuBeAl | PBE | relaxed

extended XYZ file:
```
16
Lattice="6.943 0.000 0.000 0.000 6.943 0.000 0.000 0.000 6.943" Properties=species:S:1:pos:R:3 pbc="T T T"
Ho 0.000 0.000 0.000
Ho 0.000 3.471 3.471
Ho 3.471 0.000 3.471
Ho 3.471 3.471 0.000
Lu 0.000 0.000 3.471
Lu 0.000 3.471 0.000
Lu 3.471 0.000 0.000
Lu 3.471 3.471 3.471
Be 1.736 1.736 5.207
Be 1.736 5.207 1.736
Be 5.207 1.736 1.736
Be 5.207 5.207 5.207
Al 1.736 1.736 1.736
Al 1.736 5.207 5.207
Al 5.207 1.736 5.207
Al 5.207 5.207 1.736
```

Values from the calculation:
ΔE_f   -0.561 eV per formula unit
Volume   20.916 A^3/atom
Electronic total energy   -68.5 eV per cell
Space group   F-43m, No. 216

NdHoBeAl | PBE | relaxed

extended XYZ file:
```
16
Lattice="7.159 0.000 0.000 0.000 7.159 0.000 0.000 0.000 7.159" Properties=species:S:1:pos:R:3 pbc="T T T"
Nd 0.000 0.000 0.000
Nd 0.000 3.579 3.579
Nd 3.579 0.000 3.579
Nd 3.579 3.579 0.000
Ho 0.000 0.000 3.579
Ho 0.000 3.579 0.000
Ho 3.579 0.000 0.000
Ho 3.579 3.579 3.579
Be 1.790 1.790 1.790
Be 1.790 5.369 5.369
Be 5.369 1.790 5.369
Be 5.369 5.369 1.790
Al 1.790 1.790 5.369
Al 1.790 5.369 1.790
Al 5.369 1.790 1.790
Al 5.369 5.369 5.369
```

Values from the calculation:
ΔE_f   -0.331 eV per formula unit
Volume   22.928 A^3/atom
Electronic total energy   -68.6 eV per cell
Space group   F-43m, No. 216

Ho2Be2AlNi5 | PBE | relaxed

extended XYZ file:
```
20
Lattice="9.043 0.000 0.000 0.000 9.043 0.000 0.000 0.000 3.289" Properties=species:S:1:pos:R:3 pbc="T T T"
Ho 1.635 2.887 0.000
Ho 2.887 7.408 0.000
Ho 6.156 1.635 0.000
Ho 7.408 6.156 0.000
Be 1.027 5.549 0.000
Be 3.494 1.027 0.000
Be 5.549 8.016 0.000
Be 8.016 3.494 0.000
Al 0.000 0.000 0.000
Al 4.521 4.521 0.000
Ni 0.000 4.521 1.645
Ni 0.581 7.058 1.645
Ni 1.984 0.581 1.645
Ni 2.537 5.103 1.645
Ni 3.940 2.537 1.645
Ni 4.521 0.000 1.645
Ni 5.103 6.506 1.645
Ni 6.506 3.940 1.645
Ni 7.058 8.462 1.645
Ni 8.462 1.984 1.645
```

Values from the calculation:
ΔE_f   -4.469 eV per formula unit
Volume   13.449 A^3/atom
Electronic total energy   -107.5 eV per cell
Space group   P4/mbm, No. 127